Computed, not measured: crystalline Ta2AlAg at its relaxed geometry at the PBE level of DFT.

Calculated values
**V**: 17.706 A^3/atom
**Space-group type**: Pmm2, No. 25
**E**: -29.80 eV for the cell shown
**Energy relative to the lowest polymorph listed for this composition**: 133 meV/atom

Cell: 2.914 3.998 6.080 Å, 90.00 90.00 90.00°
Atoms (fractional coordinates):
Ta: 0.000 0.000 0.000
Ta: 0.500 0.500 0.239
Al: 0.500 0.500 0.753
Ag: 0.000 0.000 0.517